(1)
! TlTc2Br PBE-GGA relaxed; values from VASP
! VASP energy ... -0.380 Ry per atom
! Energy above the most stable polymorph in this dataset ... 747 meV per atom
&SYSTEM
  ibrav = 0, nat = 4, ntyp = 3
/
ATOMIC_SPECIES
Tl 204.38 Tl.upf
Tc 98.00 Tc.upf
Br 79.90 Br.upf
CELL_PARAMETERS angstrom
3.0151 0.0000 0.0000
0.0000 4.7469 0.0000
0.0000 0.0000 5.2888
ATOMIC_POSITIONS angstrom
Tl 0.0000 0.0000 0.0000
Tc 0.0000 2.3734 2.6444
Tc 1.5075 2.3734 0.0000
Br 1.5075 0.0000 2.6444

(2)
! TlTc2Br PBE-GGA relaxed; values from VASP
! VASP energy ... -0.361 Ry per atom
! Energy above the most stable polymorph in this dataset ... 1003 meV per atom
&SYSTEM
  ibrav = 0, nat = 16, ntyp = 3
/
ATOMIC_SPECIES
Tl 204.38 Tl.upf
Tc 98.00 Tc.upf
Br 79.90 Br.upf
CELL_PARAMETERS angstrom
7.2684 0.0000 0.0000
0.0000 7.2684 0.0000
0.0000 0.0000 5.9419
ATOMIC_POSITIONS angstrom
Tl 0.0000 0.0000 0.0000
Tl 0.0000 3.6342 1.4855
Tl 3.6342 0.0000 4.4564
Tl 3.6342 3.6342 2.9709
Tc 1.3610 1.8171 3.7137
Tc 1.8171 4.9952 5.1991
Tc 1.8171 5.9074 2.2282
Tc 2.2732 1.8171 0.7427
Tc 4.9952 5.4513 0.7427
Tc 5.4513 1.3610 2.2282
Tc 5.4513 2.2732 5.1991
Tc 5.9074 5.4513 3.7137
Br 0.0000 0.0000 2.9709
Br 0.0000 3.6342 4.4564
Br 3.6342 0.0000 1.4855
Br 3.6342 3.6342 0.0000

(3)
! TlTc2Br PBE-GGA relaxed; values from VASP
! VASP energy ... -0.430 Ry per atom
! Energy above the most stable polymorph in this dataset ... 69 meV per atom
&SYSTEM
  ibrav = 0, nat = 4, ntyp = 3
/
ATOMIC_SPECIES
Tl 204.38 Tl.upf
Tc 98.00 Tc.upf
Br 79.90 Br.upf
CELL_PARAMETERS angstrom
3.0654 0.0000 0.0000
0.0000 3.0654 0.0000
0.0000 0.0000 8.4780
ATOMIC_POSITIONS angstrom
Tl 0.0000 0.0000 0.0000
Tc 0.0000 0.0000 4.8917
Tc 1.5327 1.5327 6.3549
Br 1.5327 1.5327 2.9925

(4)
! TlTc2Br PBE-GGA relaxed; values from VASP
! VASP energy ... -0.369 Ry per atom
! Energy above the most stable polymorph in this dataset ... 894 meV per atom
&SYSTEM
  ibrav = 0, nat = 16, ntyp = 3
/
ATOMIC_SPECIES
Tl 204.38 Tl.upf
Tc 98.00 Tc.upf
Br 79.90 Br.upf
CELL_PARAMETERS angstrom
6.5671 0.0000 0.0000
0.0000 6.5671 0.0000
0.0000 0.0000 6.5671
ATOMIC_POSITIONS angstrom
Tl 0.0000 0.0000 0.0000
Tl 0.0000 3.2835 3.2835
Tl 3.2835 0.0000 3.2835
Tl 3.2835 3.2835 0.0000
Tc 1.6418 1.6418 1.6418
Tc 1.6418 1.6418 4.9253
Tc 1.6418 4.9253 1.6418
Tc 1.6418 4.9253 4.9253
Tc 4.9253 1.6418 1.6418
Tc 4.9253 1.6418 4.9253
Tc 4.9253 4.9253 1.6418
Tc 4.9253 4.9253 4.9253
Br 0.0000 0.0000 3.2835
Br 0.0000 3.2835 0.0000
Br 3.2835 0.0000 0.0000
Br 3.2835 3.2835 3.2835

(5)
! TlTc2Br PBE-GGA relaxed; values from VASP
! VASP energy ... -0.402 Ry per atom
! Energy above the most stable polymorph in this dataset ... 444 meV per atom
&SYSTEM
  ibrav = 0, nat = 8, ntyp = 3
/
ATOMIC_SPECIES
Tl 204.38 Tl.upf
Tc 98.00 Tc.upf
Br 79.90 Br.upf
CELL_PARAMETERS angstrom
3.3945 0.0000 0.0000
0.0000 4.8394 0.0000
0.0000 0.0000 11.4710
ATOMIC_POSITIONS angstrom
Tl 0.0000 0.0000 0.0000
Tl 1.6973 2.4197 5.7355
Tc 0.0000 0.0000 5.7818
Tc 0.0000 2.4197 1.6232
Tc 1.6973 0.0000 7.3587
Tc 1.6973 2.4197 0.0463
Br 0.0000 2.4197 8.9293
Br 1.6973 0.0000 3.1938

(6)
! TlTc2Br PBE-GGA relaxed; values from VASP
! VASP energy ... -0.382 Ry per atom
! Energy above the most stable polymorph in this dataset ... 717 meV per atom
&SYSTEM
  ibrav = 0, nat = 8, ntyp = 3
/
ATOMIC_SPECIES
Tl 204.38 Tl.upf
Tc 98.00 Tc.upf
Br 79.90 Br.upf
CELL_PARAMETERS angstrom
3.0067 0.0000 0.0000
0.0000 5.3012 0.0000
0.0000 0.0000 9.2426
ATOMIC_POSITIONS angstrom
Tl 0.0000 0.0000 0.0000
Tl 1.5034 2.6506 4.6213
Tc 0.0000 2.6506 2.1345
Tc 0.0000 2.6506 7.1080
Tc 1.5034 0.0000 2.4867
Tc 1.5034 0.0000 6.7558
Br 0.0000 0.0000 4.6213
Br 1.5034 2.6506 0.0000

(7)
! TlTcBr6 PBE-GGA relaxed; values from VASP
! VASP energy ... -0.241 Ry per atom
&SYSTEM
  ibrav = 0, nat = 16, ntyp = 3
/
ATOMIC_SPECIES
Tl 204.38 Tl.upf
Tc 98.00 Tc.upf
Br 79.90 Br.upf
CELL_PARAMETERS angstrom
7.0540 0.0000 0.0000
0.0000 11.9334 0.0000
-2.2678 0.0000 6.6551
ATOMIC_POSITIONS angstrom
Tl 0.0000 0.0000 0.0000
Tl 3.5270 5.9667 0.0000
Tc -1.1339 5.9667 3.3276
Tc 2.3931 0.0000 3.3276
Br -0.1090 4.1788 4.7851
Br -0.1090 7.7546 4.7851
Br 0.9194 5.9667 1.8894
Br 0.3398 0.0000 4.7657
Br 1.3682 1.7879 1.8701
Br 1.3682 10.1455 1.8701
Br 3.4180 1.7879 4.7851
Br 3.4180 10.1455 4.7851
Br 4.4464 0.0000 1.8894
Br 3.8668 5.9667 4.7657
Br 4.8952 4.1788 1.8701
Br 4.8952 7.7546 1.8701

(8)
! TlTc2Br PBE-GGA relaxed; values from VASP
! VASP energy ... -0.380 Ry per atom
! Energy above the most stable polymorph in this dataset ... 745 meV per atom
&SYSTEM
  ibrav = 0, nat = 8, ntyp = 3
/
ATOMIC_SPECIES
Tl 204.38 Tl.upf
Tc 98.00 Tc.upf
Br 79.90 Br.upf
CELL_PARAMETERS angstrom
3.0301 0.0000 0.0000
0.0000 5.4498 0.0000
0.0000 0.0000 9.1581
ATOMIC_POSITIONS angstrom
Tl 0.0000 0.0000 0.0000
Tl 1.5150 2.7249 0.0000
Tc 0.0000 2.7249 2.3906
Tc 0.0000 2.7249 6.7675
Tc 1.5150 0.0000 2.3906
Tc 1.5150 0.0000 6.7675
Br 0.0000 0.0000 4.5791
Br 1.5150 2.7249 4.5791

Record-wise E_form (uncorrected) values, in eV per atom: 1.023 1.279 0.345 1.170 0.720 0.992 -0.433 1.021